5
Lattice="4.743 0.000 0.000 0.000 4.743 0.000 0.000 0.000 4.884" Properties=species:S:1:pos:R:3 comment="Mn2NiPdAu PBEsol optimized geometry" final_energy_ev_per_atom=-5.59 rho_g_cm3=7.13 pbc="T T T"
Mn 0.000 2.371 0.000
Mn 2.371 0.000 0.000
Ni 0.000 0.000 2.442
Pd 2.371 2.371 2.442
Au 2.371 2.371 0.000

=====

12
Lattice="4.674 0.000 0.000 -2.337 4.048 0.000 0.000 0.000 17.437" Properties=species:S:1:pos:R:3 comment="BaMg2Pt PBEsol optimized geometry" final_energy_ev_per_atom=-3.59 rho_g_cm3=5.75 pbc="T T T"
Ba 0.000 0.000 0.000
Ba 0.000 2.699 11.625
Ba 2.337 1.349 5.812
Mg 0.000 0.000 3.395
Mg 0.000 0.000 8.252
Mg 0.000 2.699 2.440
Mg 0.000 2.699 15.019
Mg 2.337 1.349 9.207
Mg 2.337 1.349 14.064
Pt 0.000 0.000 14.184
Pt 0.000 2.699 8.371
Pt 2.337 1.349 2.559

=====

34
Lattice="3.136 1.810 12.344 -3.136 1.810 12.344 0.000 -3.621 12.344" Properties=species:S:1:pos:R:3 comment="K2Ta4O11 PBEsol optimized geometry" formation_energy_uncorrected_ev_per_atom=-2.79 final_energy_ev_per_atom=-9.27 rho_g_cm3=7.72 pbc="T T T"
K 0.000 0.000 6.442
K 0.000 0.000 12.073
K 0.000 0.000 24.958
K 0.000 0.000 30.588
Ta 0.000 0.000 0.000
Ta -1.985 0.183 15.429
Ta -1.151 -1.627 21.601
Ta 0.833 -1.810 15.429
Ta 0.000 0.000 18.515
Ta -0.833 1.810 21.601
Ta 1.151 1.627 15.429
Ta 1.985 -0.183 21.601
O -1.548 0.000 9.258
O -2.164 0.541 13.514
O 0.000 0.000 3.472
O -1.585 0.207 17.345
O -1.551 -1.603 23.517
O 0.774 -1.341 9.258
O -0.972 -1.269 19.685
O 0.613 -2.144 13.514
O 0.000 0.000 15.043
O 0.613 -1.476 17.345
O 0.774 1.341 9.258
O -0.774 -1.341 27.773
O -0.613 1.476 19.685
O 0.000 0.000 21.988
O -0.613 2.144 23.517
O 0.972 1.269 17.345
O -0.774 1.341 27.773
O 1.551 1.603 13.514
O 1.585 -0.207 19.685
O 0.000 0.000 33.558
O 2.164 -0.541 23.517
O 1.548 0.000 27.773